No. 1
A relaxed structure of KIBr3. Source: the Alexandria database, functional PBE-GGA.

Cell: 12.002 12.002 12.002 Å, 106.50 106.50 106.50°
Element x y z (fractional)
K 0.119 0.257 0.659
K 0.257 0.659 0.119
K 0.341 0.881 0.743
K 0.659 0.119 0.257
K 0.743 0.341 0.881
K 0.881 0.743 0.341
I 0.130 0.482 0.378
I 0.378 0.130 0.482
I 0.482 0.378 0.130
I 0.518 0.622 0.870
I 0.622 0.870 0.518
I 0.870 0.518 0.622
Br 0.014 0.750 0.648
Br 0.018 0.455 0.837
Br 0.163 0.982 0.545
Br 0.250 0.352 0.986
Br 0.285 0.562 0.694
Br 0.306 0.715 0.438
Br 0.352 0.986 0.250
Br 0.438 0.306 0.715
Br 0.455 0.837 0.018
Br 0.545 0.163 0.982
Br 0.562 0.694 0.285
Br 0.648 0.014 0.750
Br 0.694 0.285 0.562
Br 0.715 0.438 0.306
Br 0.750 0.648 0.014
Br 0.837 0.018 0.455
Br 0.982 0.545 0.163
Br 0.986 0.250 0.352

DFT total energy in eV per cell: -65.18

No. 2
A relaxed structure of Rb2Mg3Sn4Pb. Source: the Alexandria database, functional PBE-GGA.

Cell: 5.015 5.015 12.743 Å, 90.00 90.00 90.00°
Element x y z (fractional)
Rb 0.000 0.500 0.247
Rb 0.500 0.000 0.753
Mg 0.000 0.500 0.869
Mg 0.500 0.000 0.131
Mg 0.500 0.500 0.500
Sn 0.000 0.000 0.000
Sn 0.000 0.500 0.638
Sn 0.500 0.000 0.362
Sn 0.500 0.500 0.000
Pb 0.000 0.000 0.500

Formation enthalpy at 0 K in eV/atom: -0.162

No. 3
A relaxed structure of BaCuSn2. Source: the Alexandria database, functional PBE-GGA.

Cell: 4.388 7.695 6.957 Å, 90.00 108.34 90.00°
Element x y z (fractional)
Ba 0.058 0.250 0.115
Ba 0.942 0.750 0.885
Cu 0.218 0.750 0.434
Cu 0.782 0.250 0.566
Sn 0.336 0.054 0.673
Sn 0.336 0.446 0.673
Sn 0.664 0.554 0.327
Sn 0.664 0.946 0.327

Formation enthalpy at 0 K in eV/atom: -0.385

No. 4
A relaxed structure of GeBiI2N. Source: the Alexandria database, functional PBE-GGA.

Cell: 6.106 6.106 3.608 Å, 90.00 90.00 90.00°
Element x y z (fractional)
Ge 0.000 0.000 0.000
Bi 0.500 0.500 0.500
I 0.000 0.500 0.000
I 0.500 0.000 0.000
N 0.000 0.000 0.500

DFT total energy in eV per cell: -17.18